No. 1
8
Lattice="-4.1750 0.7954 0.8226 1.1043 -2.5549 -3.3156 -0.4737 -11.4364 8.6547" Properties=species:S:1:pos:R:3 comment="GGA-PBE ErTmSb2, relaxed" m_tot_mub_per_cell=0.00 formation_energy_uncorrected_ev_per_atom=-1.002 vol_a3_per_atom=29.11 e_above_lowest_polymorph_ev_per_atom=0.0785 pbc="T T T"
Tm 0.0000 0.0000 0.0000
Tm -0.2368 -5.7182 4.3273
Sb -2.8311 -10.3621 7.0417
Sb -0.7133 -2.8337 -0.8800
Sb -0.8345 -5.7607 1.3350
Sb -2.7099 -7.4352 4.8267
Er -2.5337 -3.1804 1.6069
Er -1.0107 -10.0154 4.5548

---

No. 2
10
Lattice="0.0000 5.7182 5.7261 4.0813 0.0000 5.7261 4.0813 5.7182 0.0000" Properties=species:S:1:pos:R:3 comment="GGA-PBE Ta2Te3, relaxed" m_tot_mub_per_cell=0.00 formation_energy_uncorrected_ev_per_atom=-0.111 vol_a3_per_atom=26.73 pbc="T T T"
Te 4.1712 6.3492 2.0433
Te 4.1712 5.0873 9.4088
Te 2.1305 2.2281 4.9064
Te 5.0674 8.5774 8.5891
Te 2.1305 3.4901 0.8197
Te 3.0267 5.7182 5.7261
Ta 3.4985 8.1221 4.1609
Ta 3.4985 3.3143 7.2913
Ta 5.5392 6.1735 7.0239
Ta 5.5392 5.2630 4.4283

---

No. 3
3
Lattice="5.6198 -0.0357 0.0380 4.8217 2.8870 0.0564 0.7981 0.2003 2.9159" Properties=species:S:1:pos:R:3 comment="GGA-PBE CrFeSb, relaxed" m_tot_mub_per_cell=0.48 formation_energy_uncorrected_ev_per_atom=0.438 vol_a3_per_atom=15.90 pbc="T T T"
Sb 7.2804 1.9823 1.0193
Cr 10.2080 2.7871 0.1627
Fe 4.1928 1.1335 1.9226